A PBEsol-optimized structure of FeSbIr2, computed with SCAN.

## Properties
Density of states at the Fermi level, states/eV/f.u.: 2.0
Raw formation energy, eV per atom: 0.016
Electronic total energy, eV per atom: -49.38

Cell lengths 3.977, 3.977, 3.742 Å; angles 90.00, 90.00, 90.00 degrees
Atoms (fractional coordinates):
Fe: 0.000 0.000 0.000
Sb: 0.500 0.500 0.000
Ir: 0.000 0.500 0.500
Ir: 0.500 0.000 0.500

---

A PBEsol-optimized structure of BaSc2Cl, computed with SCAN.

## Properties
Offset from the most stable computed form, meV/atom: 152
Density of states at the Fermi level, states/eV/f.u.: 4.3
Raw formation energy, eV per atom: -0.382
Electronic total energy, eV per atom: -19.38

Cell lengths 3.562, 6.584, 5.056 Å; angles 90.00, 90.31, 90.00 degrees
Atoms (fractional coordinates):
Ba: 0.000 0.000 0.000
Sc: 0.273 0.500 0.761
Sc: 0.727 0.500 0.239
Cl: 0.500 0.000 0.500

---

A PBEsol-optimized structure of ReAgBr2, computed with SCAN.

## Properties
Offset from the most stable computed form, meV/atom: 279
Density of states at the Fermi level, states/eV/f.u.: 1.7
Raw formation energy, eV per atom: 1.072
Electronic total energy, eV per atom: -34.27

Cell lengths 3.162, 4.336, 6.025 Å; angles 90.00, 90.00, 90.00 degrees
Atoms (fractional coordinates):
Re: 0.000 0.000 0.000
Ag: 0.500 0.000 0.500
Br: 0.000 0.500 0.500
Br: 0.500 0.500 0.000

---

A PBEsol-optimized structure of MnZn3Os, computed with SCAN.

## Properties
Density of states at the Fermi level, states/eV/f.u.: 2.9
DFT formation energy, meV/atom: 1430
Electronic total energy, eV per atom: -24.71

Cell lengths 4.398, 4.398, 4.398 Å; angles 90.00, 90.00, 90.00 degrees
Atoms (fractional coordinates):
Mn: 0.000 0.000 0.000
Zn: 0.000 0.000 0.500
Zn: 0.000 0.500 0.000
Zn: 0.500 0.000 0.000
Os: 0.500 0.500 0.500

---

Which of these has the lowest density of states at the Fermi level? ReAgBr2

---

The highest density of states at the Fermi level belongs to which entry? BaSc2Cl